Mg2Mo2Cl | PBE | optimized geometry

Calculated total energy, eV/atom: -4.79
Formation energy without anion corrections, kJ/mol of atoms: 53.14
Total magnetization, μB per cell: 0.00
Polymorph energy (0 for the lowest one), meV/atom: 403
Crystal system: tetragonal

CIF file:
```
data_Mg2Mo2Cl
_space_group_name_H-M_alt 'P 1'
_space_group_IT_number 1
_space_group_name_Hall 'P 1'
_cell_length_a 8.284
_cell_length_b 8.284
_cell_length_c 3.096
_cell_angle_alpha 90.00
_cell_angle_beta 90.00
_cell_angle_gamma 90.00
loop_
_atom_site_label
_atom_site_type_symbol
_atom_site_fract_x
_atom_site_fract_y
_atom_site_fract_z
_atom_site_occupancy
Mg1 Mg 0.196 0.304 0.000 1
Mg2 Mg 0.304 0.804 0.000 1
Mg3 Mg 0.696 0.196 0.000 1
Mg4 Mg 0.804 0.696 0.000 1
Mo1 Mo 0.093 0.593 0.500 1
Mo2 Mo 0.407 0.093 0.500 1
Mo3 Mo 0.593 0.907 0.500 1
Mo4 Mo 0.907 0.407 0.500 1
Cl1 Cl 0.000 0.000 0.000 1
Cl2 Cl 0.500 0.500 0.000 1
```

Ca2DyCuO4 | PBE | optimized geometry

Calculated total energy, eV/atom: -6.55
Formation energy without anion corrections, kJ/mol of atoms: -239.62
Total magnetization, μB per cell: 0.07
Crystal system: monoclinic

CIF file:
```
data_Ca2DyCuO4
_space_group_name_H-M_alt 'P 1'
_space_group_IT_number 1
_space_group_name_Hall 'P 1'
_cell_length_a 5.749
_cell_length_b 3.393
_cell_length_c 5.865
_cell_angle_alpha 90.00
_cell_angle_beta 110.05
_cell_angle_gamma 90.00
loop_
_atom_site_label
_atom_site_type_symbol
_atom_site_fract_x
_atom_site_fract_y
_atom_site_fract_z
_atom_site_occupancy
Ca1 Ca 0.000 0.000 0.000 1
Ca2 Ca 0.500 0.500 0.000 1
Dy1 Dy 0.000 0.500 0.500 1
Cu1 Cu 0.500 0.000 0.500 1
O1 O 0.230 0.000 0.747 1
O2 O 0.239 0.500 0.251 1
O3 O 0.761 0.500 0.749 1
O4 O 0.770 0.000 0.253 1
```

DyErAlPt | PBE | optimized geometry

Calculated total energy, eV/atom: -5.49
Energy relative to the elements, eV/atom: -0.7516
Total magnetization, μB per cell: 0.00
Crystal system: cubic

CIF file:
```
data_DyErAlPt
_space_group_name_H-M_alt 'P 1'
_space_group_IT_number 1
_space_group_name_Hall 'P 1'
_cell_length_a 7.079
_cell_length_b 7.079
_cell_length_c 7.079
_cell_angle_alpha 90.00
_cell_angle_beta 90.00
_cell_angle_gamma 90.00
loop_
_atom_site_label
_atom_site_type_symbol
_atom_site_fract_x
_atom_site_fract_y
_atom_site_fract_z
_atom_site_occupancy
Dy1 Dy 0.000 0.000 0.000 1
Dy2 Dy 0.000 0.500 0.500 1
Dy3 Dy 0.500 0.000 0.500 1
Dy4 Dy 0.500 0.500 0.000 1
Er1 Er 0.000 0.000 0.500 1
Er2 Er 0.000 0.500 0.000 1
Er3 Er 0.500 0.000 0.000 1
Er4 Er 0.500 0.500 0.500 1
Al1 Al 0.250 0.250 0.250 1
Al2 Al 0.250 0.750 0.750 1
Al3 Al 0.750 0.250 0.750 1
Al4 Al 0.750 0.750 0.250 1
Pt1 Pt 0.250 0.250 0.750 1
Pt2 Pt 0.250 0.750 0.250 1
Pt3 Pt 0.750 0.250 0.250 1
Pt4 Pt 0.750 0.750 0.750 1
```

Pu5Rh2 | PBE | optimized geometry

Calculated total energy, eV/atom: -12.48
Energy relative to the elements, eV/atom: -0.1423
Total magnetization, μB per cell: 10.24
Polymorph energy (0 for the lowest one), meV/atom: 0
Crystal system: orthorhombic

CIF file:
```
data_Pu5Rh2
_space_group_name_H-M_alt 'P 1'
_space_group_IT_number 1
_space_group_name_Hall 'P 1'
_cell_length_a 8.421
_cell_length_b 8.421
_cell_length_c 8.421
_cell_angle_alpha 124.20
_cell_angle_beta 70.79
_cell_angle_gamma 140.09
loop_
_atom_site_label
_atom_site_type_symbol
_atom_site_fract_x
_atom_site_fract_y
_atom_site_fract_z
_atom_site_occupancy
Pu1 Pu 0.030 0.250 0.780 1
Pu2 Pu 0.087 0.657 0.745 1
Pu3 Pu 0.250 0.250 0.000 1
Pu4 Pu 0.413 0.157 0.570 1
Pu5 Pu 0.470 0.250 0.220 1
Pu6 Pu 0.530 0.750 0.780 1
Pu7 Pu 0.587 0.843 0.430 1
Pu8 Pu 0.750 0.750 0.000 1
Pu9 Pu 0.913 0.343 0.255 1
Pu10 Pu 0.970 0.750 0.220 1
Rh1 Rh 0.122 0.294 0.415 1
Rh2 Rh 0.378 0.794 0.172 1
Rh3 Rh 0.622 0.206 0.828 1
Rh4 Rh 0.878 0.706 0.585 1
```